# 1
ZnAgTeO | PBE-GGA | relaxed

a = 3.3666 Å, b = 3.3667 Å, c = 14.9466 Å
α = 90.00°, β = 90.00°, γ = 120.00°
Element x y z (fractional)
1 Ag 0.0000 0.0000 0.4691
2 Ag 0.0000 0.0000 0.9691
3 O 0.0000 0.0000 0.3170
4 O 0.0000 0.0000 0.8170
5 Te 0.6667 0.3334 0.1138
6 Te 0.3333 0.6666 0.6138
7 Zn 0.3333 0.6667 0.2877
8 Zn 0.6667 0.3333 0.7877

Output
E	-3.525	eV per atom
V	146.71	Å³/cell

***

# 2
Pr2GaHg5 | PBE-GGA | relaxed

a = 5.0228 Å, b = 6.8208 Å, c = 6.8208 Å
α = 59.24°, β = 90.00°, γ = 90.00°
Element x y z (fractional)
1 Ga 0.0000 0.8409 0.8409
2 Hg 0.5000 0.6799 0.1534
3 Hg 0.5000 0.1627 0.1627
4 Hg 0.0000 0.8361 0.3223
5 Hg 0.5000 0.1534 0.6799
6 Hg 0.0000 0.3223 0.8361
7 Pr 0.0000 0.3347 0.3347
8 Pr 0.5000 0.6700 0.6700

Output
E	-2.159	eV per atom
V	200.80	Å³/cell

***

# 3
Zr3Al3Cu2Ir | PBE-GGA | relaxed

a = 6.6596 Å, b = 6.6596 Å, c = 3.9981 Å
α = 90.00°, β = 90.00°, γ = 120.00°
Element x y z (fractional)
1 Al 0.2485 0.0000 0.5000
2 Al 0.0000 0.2485 0.5000
3 Al 0.7515 0.7515 0.5000
4 Cu 0.6667 0.3333 0.5000
5 Cu 0.3333 0.6667 0.5000
6 Ir 0.0000 0.0000 0.0000
7 Zr 0.5832 0.0000 0.0000
8 Zr 0.4168 0.4168 0.0000
9 Zr 0.0000 0.5832 0.0000

Output
E	-6.503	eV per atom
V	153.56	Å³/cell

***

# 4
SrHoTe2AuS | PBE-GGA | relaxed

a = 7.6094 Å, b = 7.6094 Å, c = 10.5699 Å
α = 90.00°, β = 90.00°, γ = 147.14°
Element x y z (fractional)
1 Au 0.5199 0.4801 0.2500
2 Au 0.4801 0.5199 0.7500
3 Ho 0.0000 0.0000 0.0000
4 Ho 0.0000 0.0000 0.5000
5 S 0.9233 0.0767 0.2500
6 S 0.0767 0.9233 0.7500
7 Sr 0.2727 0.7273 0.2500
8 Sr 0.7273 0.2727 0.7500
9 Te 0.6482 0.3518 0.0565
10 Te 0.6482 0.3518 0.4435
11 Te 0.3518 0.6482 0.5565
12 Te 0.3518 0.6482 0.9435

Output
E	-4.603	eV per atom
V	332.06	Å³/cell

***

# 5
NbAsO4 | PBE-GGA | relaxed

a = 6.4046 Å, b = 6.4046 Å, c = 6.4046 Å
α = 133.72°, β = 133.72°, γ = 67.52°
Element x y z (fractional)
1 As 0.0000 0.0000 0.0000
2 As 0.7500 0.2500 0.5000
3 Nb 0.5000 0.5000 0.0000
4 Nb 0.2500 0.7500 0.5000
5 O 0.9453 0.4070 0.0369
6 O 0.6585 0.1953 0.0383
7 O 0.0915 0.0547 0.4617
8 O 0.8047 0.8430 0.4631
9 O 0.3798 0.3415 0.5369
10 O 0.5930 0.6298 0.5383
11 O 0.1570 0.6202 0.9617
12 O 0.3702 0.9085 0.9631

Output
E	-7.483	eV per atom
V	134.90	Å³/cell

***

# 6
GdDyBPb | PBE-GGA | relaxed

a = 3.7066 Å, b = 3.7066 Å, c = 16.8383 Å
α = 90.00°, β = 90.00°, γ = 120.00°
Element x y z (fractional)
1 B 0.0000 0.0000 0.0000
2 B 0.0000 0.0000 0.5000
3 Dy 0.3333 0.6667 0.0880
4 Dy 0.6667 0.3333 0.9120
5 Gd 0.3333 0.6667 0.4085
6 Gd 0.6667 0.3333 0.5915
7 Pb 0.6667 0.3333 0.2478
8 Pb 0.3333 0.6667 0.7522

Output
E	-5.091	eV per atom
V	200.35	Å³/cell